## OsPt2W (meta-GGA SCAN)

Data for a crystal of OsPt2W relaxed with PBEsol.

Output
ΔE_f ... 42.5 kJ/mol of atoms

POSCAR file:
```
OsPt2W
1.0
-3.921 1.615 1.194
-2.744 -2.448 2.426
-0.757 1.057 4.209
Os Pt W
1 2 1
direct
0.000 0.000 0.000
0.250 0.250 0.250
0.750 0.750 0.750
0.500 0.500 0.500
```

=====

## OsPtW2 (meta-GGA SCAN)

Data for a crystal of OsPtW2 relaxed with PBEsol.

Output
ΔE_f ... -19.6 kJ/mol of atoms

POSCAR file:
```
OsPtW2
1.0
-2.488 1.604 -2.545
1.716 -1.956 -2.910
-2.086 -2.799 3.269
Os W Pt
1 2 1
direct
0.500 0.500 0.000
0.750 0.250 0.500
0.250 0.750 0.500
0.000 0.000 0.000
```

=====

## Os2PtW (meta-GGA SCAN)

Data for a crystal of Os2PtW relaxed with PBEsol.

Output
ΔE_f ... -2.9 kJ/mol of atoms

POSCAR file:
```
Os2PtW
1.0
2.726 0.000 0.000
0.000 3.902 0.000
0.000 0.000 5.491
Os Pt W
2 1 1
direct
0.500 0.000 0.012
0.000 0.500 0.230
0.500 0.000 0.500
0.000 0.500 0.758
```

=====

## OsPtW2 (meta-GGA SCAN)

Data for a crystal of OsPtW2 relaxed with PBEsol.

Output
ΔE_f ... -15.4 kJ/mol of atoms

POSCAR file:
```
OsPtW2
1.0
2.760 0.000 0.000
0.000 3.931 0.000
0.000 0.000 5.518
Os Pt W
1 1 2
direct
0.500 0.500 0.000
0.500 0.500 0.500
0.000 0.000 0.762
0.000 0.000 0.238
```

=====

## OsPtW2 (meta-GGA SCAN)

Data for a crystal of OsPtW2 relaxed with PBEsol.

Output
ΔE_f ... -12.8 kJ/mol of atoms

POSCAR file:
```
OsPtW2
1.0
-1.238 2.386 0.678
-3.969 -1.773 -1.003
-0.465 -1.535 4.550
Os Pt W
1 1 2
direct
0.500 0.000 0.550
0.500 0.500 0.201
0.000 0.000 0.045
0.000 0.500 0.703
```

=====

## OsPt2W (meta-GGA SCAN)

Data for a crystal of OsPt2W relaxed with PBEsol.

Output
ΔE_f ... 24.2 kJ/mol of atoms

POSCAR file:
```
OsPt2W
1.0
-0.476 1.534 4.100
-3.914 -0.246 2.003
-0.590 -2.803 3.345
Os Pt W
1 2 1
direct
0.500 0.500 0.500
0.000 0.000 0.000
0.750 0.750 0.750
0.250 0.250 0.250
```

=====

Which of these has the highest ΔE_f?
number 1